First-principles (PBE-GGA) data for an optimized crystal structure of GaFeTe2I, as listed in Alexandria via LeMat-Bulk.

Geometry as extended XYZ:
```
5
Lattice="5.4053 0.0000 0.0000 0.0000 5.4053 0.0000 0.0000 0.0000 5.4961" Properties=species:S:1:pos:R:3 pbc="T T T"
I 0.0000 0.0000 2.7481
Te 0.0000 2.7026 0.0000
Te 2.7026 0.0000 0.0000
Fe 2.7026 2.7026 2.7481
Ga 0.0000 0.0000 0.0000
```

Calculated values
distance to the lowest polymorph of the same formula = 590 meV/atom
uncorrected energy = -3.0666 eV/atom
crystal system = tetragonal
formation energy without anion corrections = 385.0 kJ/mol of formula units